The following is a DFT calculation (PBE-GGA) of a relaxed PdF3 crystal.

For the formation energy without anion corrections, the calculation gives -0.511 eV/atom.

It has space group R-3m (No. 166, hexagonal axes), with a = 3.4988 Å, b = 3.4988 Å, c = 19.3572 Å, α = 90.00°, β = 90.00° and γ = 120.00°. The asymmetric unit holds Pd at (0.0000, 0.0000, 0.0000), F at (0.0000, 0.0000, 0.3724) and F at (0.0000, 0.0000, 0.5000).

=====

The following is a DFT calculation (PBE-GGA) of a relaxed PdF3 crystal.

For the formation energy without anion corrections, the calculation gives -0.469 eV/atom.

It has space group I-42d (No. 122), with a = 3.994 Å, b = 3.994 Å, c = 13.563 Å, α = 90.00°, β = 90.00° and γ = 90.00°. The asymmetric unit holds Pd at (0.000, 0.000, 0.000), F at (0.000, 0.000, 0.500) and F at (0.157, 0.250, 0.125).

=====

The following is a DFT calculation (PBE-GGA) of a relaxed PdF3 crystal.

For the formation energy without anion corrections, the calculation gives -0.882 eV/atom.

It has space group Immm (No. 71), with a = 2.910 Å, b = 4.196 Å, c = 8.667 Å, α = 90.00°, β = 90.00° and γ = 90.00°. The asymmetric unit holds Pd at (0.000, 0.000, 0.000), F at (0.000, 0.000, 0.500) and F at (0.000, 0.500, 0.339).

=====

The following is a DFT calculation (PBE-GGA) of a relaxed PdF3 crystal.

For the formation energy without anion corrections, the calculation gives -1.248 eV/atom.

It has space group Pnma (No. 62), with a = 5.596 Å, b = 7.730 Å, c = 5.301 Å, α = 90.00°, β = 90.00° and γ = 90.00°. The asymmetric unit holds Pd at (0.000, 0.000, 0.000), F at (0.028, 0.250, 0.122) and F at (0.192, 0.060, 0.685).

=====

The following is a DFT calculation (PBE-GGA) of a relaxed PdF3 crystal.

For the formation energy without anion corrections, the calculation gives -1.251 eV/atom.

It has space group R-3c (No. 167, hexagonal axes), with a = 5.1671 Å, b = 5.1671 Å, c = 14.2875 Å, α = 90.00°, β = 90.00° and γ = 120.00°. The asymmetric unit holds Pd at (0.0000, 0.0000, 0.0000) and F at (0.0000, 0.3578, 0.2500).

=====

The following is a DFT calculation (PBE-GGA) of a relaxed PdF3 crystal.

For the formation energy without anion corrections, the calculation gives -0.294 eV/atom.

It has space group R-3m (No. 166, hexagonal axes), with a = 2.7588 Å, b = 2.7588 Å, c = 26.2268 Å, α = 90.00°, β = 90.00° and γ = 120.00°. The asymmetric unit holds Pd at (0.0000, 0.0000, 0.0000), F at (0.0000, 0.0000, 0.0718) and F at (0.0000, 0.0000, 0.5000).

=====

The following is a DFT calculation (PBE-GGA) of a relaxed PdF3 crystal.

For the formation energy without anion corrections, the calculation gives -1.222 eV/atom.

It has space group P321 (No. 150), with a = 5.4154 Å, b = 5.4154 Å, c = 7.2525 Å, α = 90.00°, β = 90.00° and γ = 120.00°. The asymmetric unit holds Pd at (0.0000, 0.0000, 0.0000), Pd at (0.3333, 0.6667, 0.6593), F at (0.0000, 0.3870, 0.5000) and F at (0.0844, 0.7477, 0.8203).

=====

The following is a DFT calculation (PBE-GGA) of a relaxed PdF3 crystal.

For the formation energy without anion corrections, the calculation gives -0.478 eV/atom.

It has space group Fm-3m (No. 225), with a = 5.531 Å, b = 5.531 Å, c = 5.531 Å, α = 90.00°, β = 90.00° and γ = 90.00°. The asymmetric unit holds Pd at (0.000, 0.000, 0.000), F at (0.000, 0.000, 0.500) and F at (0.250, 0.250, 0.250).

=====

The following is a DFT calculation (PBE-GGA) of a relaxed Pd2F5 crystal.

For the formation energy without anion corrections, the calculation gives -1.181 eV/atom.

It has space group C2/c (No. 15), with a = 13.218 Å, b = 5.106 Å, c = 5.975 Å, α = 90.00°, β = 102.26° and γ = 90.00°. The asymmetric unit holds Pd at (0.144, 0.247, 0.295), F at (0.000, 0.408, 0.250), F at (0.107, 0.068, 0.983) and F at (0.204, 0.422, 0.630).

=====

The following is a DFT calculation (PBE-GGA) of a relaxed PmPdF6 crystal.

For the formation energy without anion corrections, the calculation gives -2.598 eV/atom.

It has space group P-1 (No. 2), with a = 5.278 Å, b = 5.493 Å, c = 5.864 Å, α = 90.41°, β = 115.35° and γ = 117.60°. The asymmetric unit holds Pm at (0.000, 0.000, 0.000), Pd at (0.000, 0.500, 0.500), F at (0.138, 0.404, 0.263), F at (0.141, 0.273, 0.731) and F at (0.479, 0.880, 0.752).

=====

The following is a DFT calculation (PBE-GGA) of a relaxed PmPd2F8 crystal.

For the formation energy without anion corrections, the calculation gives -2.222 eV/atom.

It has space group P-1 (No. 2), with a = 4.079 Å, b = 6.526 Å, c = 6.544 Å, α = 73.56°, β = 71.93° and γ = 71.94°. The asymmetric unit holds Pm at (0.000, 0.000, 0.000), Pd at (0.134, 0.366, 0.367), F at (0.137, 0.112, 0.616), F at (0.137, 0.615, 0.112), F at (0.352, 0.647, 0.649) and F at (0.368, 0.132, 0.133).

=====

The following is a DFT calculation (PBE-GGA) of a relaxed PmPdF crystal.

For the formation energy without anion corrections, the calculation gives -1.524 eV/atom.

It has space group I4mm (No. 107), with a = 3.901 Å, b = 3.901 Å, c = 8.150 Å, α = 90.00°, β = 90.00° and γ = 90.00°. The asymmetric unit holds Pm at (0.000, 0.000, 0.000), Pd at (0.000, 0.000, 0.375) and F at (0.000, 0.000, 0.724).

=====

Number 1: uncorrected energy -3.213 eV/atom. Number 2: uncorrected energy -3.171 eV/atom. Number 3: uncorrected energy -3.583 eV/atom. Number 4: uncorrected energy -3.949 eV/atom. Number 5: uncorrected energy -3.953 eV/atom. Number 6: uncorrected energy -2.996 eV/atom. Number 7: uncorrected energy -3.924 eV/atom. Number 8: uncorrected energy -3.180 eV/atom. Number 9: uncorrected energy -4.002 eV/atom. Number 10: uncorrected energy -5.245 eV/atom. Number 11: uncorrected energy -4.959 eV/atom. Number 12: uncorrected energy -5.462 eV/atom.